one | Compound: CuP3O
Source: the Alexandria database
Functional: PBE
Structure: optimized geometry

Unit cell a=4.443 b=4.443 c=4.443 alpha=90.00 beta=90.00 gamma=90.00
Atoms (fractional coordinates):
P 0.000 0.500 0.000
P 0.000 0.000 0.500
P 0.500 0.000 0.000
O 0.500 0.500 0.500
Cu 0.000 0.000 0.000

The value obtained for the density of states at the Fermi level is 0.749 states/eV per atom.

---

two | Compound: CuP3O
Source: the Alexandria database
Functional: PBE
Structure: optimized geometry

Unit cell a=4.130 b=4.130 c=4.130 alpha=90.00 beta=90.00 gamma=90.00
Atoms (fractional coordinates):
P 0.000 0.500 0.000
P 0.000 0.000 0.500
P 0.500 0.000 0.000
O 0.000 0.000 0.000
Cu 0.500 0.500 0.500

The value obtained for the density of states at the Fermi level is 0.908 states/eV per atom.

---

Of them, one has the lowest stability.